DFT (PBE) results for crystalline CrHgH3 at its relaxed geometry.

abc: 3.6092 3.6092 3.6092
angles: 90.00 90.00 90.00
Atoms (fractional coordinates):
1 Cr 0.0000 0.0000 0.0000
2 Hg 0.5000 0.5000 0.5000
3 H 0.0000 0.0000 0.5000
4 H 0.0000 0.5000 0.0000
5 H 0.5000 0.0000 0.0000

Values from the calculation:
Crystal system ... cubic
Excess energy over the best structure of this formula in the dataset ... 0.00 eV/f.u.


DFT (PBE) results for crystalline Pr2NbCr2N6 at its relaxed geometry.

abc: 6.2623 6.2623 6.2623
angles: 55.23 55.23 55.23
Atoms (fractional coordinates):
1 Pr 0.2172 0.2172 0.2172
2 Pr 0.7828 0.7828 0.7828
3 Nb 0.0000 0.0000 0.0000
4 Cr 0.4341 0.4341 0.4341
5 Cr 0.5659 0.5659 0.5659
6 N 0.2425 0.7564 0.7564
7 N 0.2436 0.2436 0.7575
8 N 0.2436 0.7575 0.2436
9 N 0.7564 0.2425 0.7564
10 N 0.7564 0.7564 0.2425
11 N 0.7575 0.2436 0.2436

Values from the calculation:
Crystal system ... trigonal
E_form (uncorrected) ... -725.5 meV per atom


DFT (PBE) results for crystalline Mg2SeO at its relaxed geometry.

abc: 6.0820 6.0820 6.0820
angles: 33.21 33.21 33.21
Atoms (fractional coordinates):
1 Mg 0.2354 0.2354 0.2354
2 Mg 0.7646 0.7646 0.7646
3 Se 0.0000 0.0000 0.0000
4 O 0.5000 0.5000 0.5000

Values from the calculation:
Crystal system ... trigonal
Excess energy over the best structure of this formula in the dataset ... 1.17 eV/f.u.
E_form (uncorrected) ... -1633.2 meV per atom


DFT (PBE) results for crystalline Fe2NiRh at its relaxed geometry.

abc: 4.1452 4.1452 4.1452
angles: 60.00 60.00 60.00
Atoms (fractional coordinates):
1 Fe 0.0000 0.0000 0.0000
2 Fe 0.2500 0.2500 0.2500
3 Ni 0.5000 0.5000 0.5000
4 Rh 0.7500 0.7500 0.7500

Values from the calculation:
Crystal system ... cubic
Formation energy ... 5.1 kJ/mol of atoms


Results for uncorrected energy: -18.19; -96.81; -18.16; -29.85 (in eV per cell, following the order of the records).
Results for size of the total moment: 0.57; 0.00; 0.00; 1.78 (in μB per atom, following the order of the records).